This record from Alexandria describes a relaxed structure of KTlMo2. The functional is PBE-GGA.

The structure in POSCAR format:
```
KTlMo2
1.0
-3.801 -4.101 -3.060
2.596 -3.581 -4.590
-0.448 1.719 6.121
K Mo Tl
1 2 1
direct
0.232 0.732 0.500
0.946 0.946 0.000
0.793 0.293 0.500
0.529 0.529 0.000
```

## Properties
M_tot, μB per formula unit: 0.00
ΔH_f (0 K), eV/atom: 0.990
E above lowest polymorph, meV per atom: 402
DOS at the Fermi energy, states/eV per atom: 0.7576